! PBE Sm4Dy5Er, relaxed; values from VASP
&SYSTEM
  ibrav = 0, nat = 10, ntyp = 3
/
ATOMIC_SPECIES
Dy 162.50 Dy.upf
Sm 150.36 Sm.upf
Er 167.26 Er.upf
ATOMIC_POSITIONS crystal
Dy 0.500 0.500 0.000
Sm 0.029 0.751 0.059
Sm 0.655 0.250 0.309
Sm 0.345 0.750 0.691
Dy 0.174 0.553 0.348
Dy 0.827 0.052 0.653
Dy 0.173 0.948 0.347
Sm 0.971 0.249 0.941
Er 0.500 0.000 0.000
Dy 0.826 0.447 0.652
CELL_PARAMETERS angstrom
-2.973 -0.074 1.900
-3.814 -8.309 -6.289
5.046 -5.662 4.406
! Space group: C2/m (12)
! E_form: 0.186 eV/atom
! Energy above the lowest structure with this stoichiometry: 0.0000 eV/atom

! PBE Re2AgSe, relaxed; values from VASP
&SYSTEM
  ibrav = 0, nat = 4, ntyp = 3
/
ATOMIC_SPECIES
Re 186.21 Re.upf
Ag 107.87 Ag.upf
Se 78.96 Se.upf
ATOMIC_POSITIONS crystal
Re 0.250 0.750 0.500
Ag 0.750 0.250 0.500
Se 0.500 0.500 0.000
Re 0.000 0.000 0.000
CELL_PARAMETERS angstrom
-0.423 -4.299 1.676
4.461 -0.670 1.061
-2.512 3.623 1.426
! Space group: I-4m2 (119)
! Formation energy from raw total energies: 0.89 eV per atom

! PBE TbYPu2As4, relaxed; values from VASP
&SYSTEM
  ibrav = 0, nat = 8, ntyp = 4
/
ATOMIC_SPECIES
As 74.92 As.upf
Y 88.91 Y.upf
Pu 244.00 Pu.upf
Tb 158.93 Tb.upf
ATOMIC_POSITIONS crystal
As 0.000 0.249 0.746
Y 0.000 0.000 0.000
As 0.500 0.251 0.253
Pu 0.000 0.500 0.500
As 0.500 0.749 0.747
Pu 0.500 0.000 0.500
As 0.000 0.751 0.254
Tb 0.500 0.500 0.000
CELL_PARAMETERS angstrom
4.141 0.000 0.000
0.000 7.169 0.124
0.000 -2.506 6.675
! Space group: P2/m (10)
! E_form: -1.285 eV/atom

! PBE Cu3AgPb, relaxed; values from VASP
&SYSTEM
  ibrav = 0, nat = 5, ntyp = 3
/
ATOMIC_SPECIES
Ag 107.87 Ag.upf
Cu 63.55 Cu.upf
Pb 207.20 Pb.upf
ATOMIC_POSITIONS crystal
Ag 0.000 0.000 0.000
Cu 0.000 0.000 0.500
Cu 0.500 0.000 0.000
Pb 0.500 0.500 0.500
Cu 0.000 0.500 0.000
CELL_PARAMETERS angstrom
-3.122 1.347 3.351
-2.707 -3.805 -0.993
2.391 -2.549 3.252
! Space group: Pm-3m (221)
! E_form: 0.713 eV/atom
! Energy above the lowest structure with this stoichiometry: 0.0000 eV/atom

! PBE LiSiW4, relaxed; values from VASP
&SYSTEM
  ibrav = 0, nat = 6, ntyp = 3
/
ATOMIC_SPECIES
Li 6.94 Li.upf
W 183.84 W.upf
Si 28.09 Si.upf
ATOMIC_POSITIONS crystal
Li 0.750 0.750 0.750
W 0.871 0.376 0.376
Si 0.000 0.000 0.000
W 0.376 0.376 0.376
W 0.376 0.376 0.871
W 0.376 0.871 0.376
CELL_PARAMETERS angstrom
2.485 0.318 4.634
-2.453 -1.503 4.413
1.509 -4.392 2.487
! Space group: F-43m (216)
! Formation energy from raw total energies: 0.79 eV per atom

! PBE K2Na5Cd12, relaxed; values from VASP
&SYSTEM
  ibrav = 0, nat = 19, ntyp = 3
/
ATOMIC_SPECIES
Na 22.99 Na.upf
Cd 112.41 Cd.upf
K 39.10 K.upf
ATOMIC_POSITIONS crystal
Na 0.000 0.500 0.000
Cd 0.362 0.362 0.841
Cd 0.298 0.702 0.000
Cd 0.841 0.362 0.362
Na 0.000 0.000 0.500
Cd 0.362 0.841 0.362
Cd 0.298 0.000 0.702
Cd 0.638 0.159 0.638
Cd 0.702 0.000 0.298
Na 0.903 0.903 0.903
Na 0.500 0.000 0.000
Cd 0.000 0.702 0.298
Cd 0.702 0.298 0.000
K 0.344 0.344 0.344
Cd 0.000 0.298 0.702
Cd 0.159 0.638 0.638
K 0.656 0.656 0.656
Na 0.097 0.097 0.097
Cd 0.638 0.638 0.159
CELL_PARAMETERS angstrom
-4.711 -0.582 6.585
-6.131 -4.097 -3.394
2.249 -7.452 2.305
! Space group: R-3m (166)
! E_form: -0.059 eV/atom

! PBE Mn3Ag5Cl16, relaxed; values from VASP
&SYSTEM
  ibrav = 0, nat = 24, ntyp = 3
/
ATOMIC_SPECIES
Ag 107.87 Ag.upf
Cl 35.45 Cl.upf
Mn 54.94 Mn.upf
ATOMIC_POSITIONS crystal
Ag 0.167 0.167 0.256
Cl 0.691 0.139 0.896
Ag 0.337 0.337 0.983
Ag 0.818 0.339 0.796
Cl 0.884 0.884 0.393
Mn 0.676 0.172 0.284
Mn 0.172 0.676 0.284
Cl 0.524 0.019 0.184
Cl 0.139 0.691 0.896
Cl 0.522 0.963 0.680
Cl 0.467 0.467 0.165
Mn 0.829 0.829 0.788
Cl 0.497 0.497 0.668
Cl 0.832 0.332 0.378
Cl 0.385 0.385 0.394
Ag 0.621 0.621 0.534
Cl 0.019 0.524 0.184
Cl 0.719 0.719 0.899
Cl 0.943 0.943 0.685
Cl 0.963 0.522 0.680
Ag 0.339 0.818 0.796
Cl 0.970 0.970 0.169
Cl 0.154 0.154 0.914
Cl 0.332 0.832 0.378
CELL_PARAMETERS angstrom
-7.427 2.703 0.329
-6.482 -4.412 -1.048
2.333 -2.072 12.312
! Space group: Cm (8)
! Formation energy from raw total energies: -0.67 eV per atom

! PBE Sr2LiAgF, relaxed; values from VASP
&SYSTEM
  ibrav = 0, nat = 5, ntyp = 4
/
ATOMIC_SPECIES
Li 6.94 Li.upf
Sr 87.62 Sr.upf
Ag 107.87 Ag.upf
F 19.00 F.upf
ATOMIC_POSITIONS crystal
Li 0.000 0.000 0.500
Sr 0.500 0.000 0.000
Ag 0.500 0.500 0.500
Sr 0.000 0.500 0.000
F 0.000 0.000 0.000
CELL_PARAMETERS angstrom
-2.888 -4.261 1.928
-0.604 -1.908 -5.120
3.473 -2.173 0.400
! Space group: P4/mmm (123)
! Formation energy from raw total energies: -1.17 eV per atom

! PBE AgSb3Se, relaxed; values from VASP
&SYSTEM
  ibrav = 0, nat = 5, ntyp = 3
/
ATOMIC_SPECIES
Sb 121.76 Sb.upf
Ag 107.87 Ag.upf
Se 78.96 Se.upf
ATOMIC_POSITIONS crystal
Sb 0.000 0.000 0.500
Ag 0.500 0.500 0.500
Sb 0.500 0.000 0.000
Se 0.000 0.000 0.000
Sb 0.000 0.500 0.000
CELL_PARAMETERS angstrom
5.421 0.000 0.000
0.000 5.421 0.000
0.000 0.000 5.421
! Space group: Pm-3m (221)
! Formation energy from raw total energies: 0.76 eV per atom
! Energy above the lowest structure with this stoichiometry: 0.0000 eV/atom

! PBE Ba3LiI, relaxed; values from VASP
&SYSTEM
  ibrav = 0, nat = 5, ntyp = 3
/
ATOMIC_SPECIES
Ba 137.33 Ba.upf
I 126.90 I.upf
Li 6.94 Li.upf
ATOMIC_POSITIONS crystal
Ba 0.000 0.000 0.500
I 0.000 0.000 0.000
Ba 0.500 0.000 0.000
Li 0.500 0.500 0.500
Ba 0.000 0.500 0.000
CELL_PARAMETERS angstrom
-2.353 -6.233 0.636
5.681 -1.836 3.022
-2.641 1.602 5.937
! Space group: Pm-3m (221)
! Formation energy from raw total energies: -0.22 eV per atom
! Energy above the lowest structure with this stoichiometry: 0.0000 eV/atom

! PBE CaAcAgBi, relaxed; values from VASP
&SYSTEM
  ibrav = 0, nat = 4, ntyp = 4
/
ATOMIC_SPECIES
Bi 208.98 Bi.upf
Ac 227.00 Ac.upf
Ag 107.87 Ag.upf
Ca 40.08 Ca.upf
ATOMIC_POSITIONS crystal
Bi 0.750 0.750 0.750
Ac 0.000 0.000 0.000
Ag 0.250 0.250 0.250
Ca 0.500 0.500 0.500
CELL_PARAMETERS angstrom
-1.018 0.352 5.525
3.356 -2.658 3.655
3.454 2.960 3.315
! Space group: F-43m (216)
! E_form: -0.521 eV/atom

! PBE Sm8Sn2Hg, relaxed; values from VASP
&SYSTEM
  ibrav = 0, nat = 11, ntyp = 3
/
ATOMIC_SPECIES
Hg 200.59 Hg.upf
Sm 150.36 Sm.upf
Sn 118.71 Sn.upf
ATOMIC_POSITIONS crystal
Hg 0.500 0.000 0.000
Sm 0.983 0.230 0.966
Sn 0.180 0.756 0.360
Sm 0.657 0.999 0.314
Sm 0.407 0.520 0.813
Sn 0.820 0.244 0.640
Sm 0.786 0.678 0.571
Sm 0.593 0.480 0.187
Sm 0.017 0.770 0.034
Sm 0.214 0.322 0.429
Sm 0.343 0.001 0.686
CELL_PARAMETERS angstrom
-1.576 -4.840 1.049
-1.180 -1.077 -6.740
10.139 -0.344 0.766
! Space group: C2/m (12)
! E_form: -0.343 eV/atom

! PBE PrTmTlRh, relaxed; values from VASP
&SYSTEM
  ibrav = 0, nat = 4, ntyp = 4
/
ATOMIC_SPECIES
Rh 102.91 Rh.upf
Tm 168.93 Tm.upf
Tl 204.38 Tl.upf
Pr 140.91 Pr.upf
ATOMIC_POSITIONS crystal
Rh 0.000 0.000 0.000
Tm 0.250 0.250 0.250
Tl 0.500 0.500 0.500
Pr 0.750 0.750 0.750
CELL_PARAMETERS angstrom
5.192 0.000 0.000
2.596 4.497 0.000
2.596 1.499 4.240
! Space group: F-43m (216)
! E_form: -0.422 eV/atom

! PBE TmMg2BiO6, relaxed; values from VASP
&SYSTEM
  ibrav = 0, nat = 10, ntyp = 4
/
ATOMIC_SPECIES
Bi 208.98 Bi.upf
O 16.00 O.upf
Tm 168.93 Tm.upf
Mg 24.30 Mg.upf
ATOMIC_POSITIONS crystal
Bi 0.315 0.315 0.056
O 0.617 0.224 0.247
Tm 0.806 0.806 0.582
Mg 0.020 0.020 0.941
O 0.224 0.912 0.247
Mg 0.521 0.521 0.436
O 0.721 0.133 0.753
O 0.912 0.617 0.247
O 0.393 0.721 0.753
O 0.133 0.393 0.753
CELL_PARAMETERS angstrom
5.443 0.000 0.000
2.722 4.714 0.000
2.722 1.571 4.867
! Space group: R3 (146)
! Formation energy from raw total energies: -2.30 eV per atom

! PBE NaZn6Au6, relaxed; values from VASP
&SYSTEM
  ibrav = 0, nat = 13, ntyp = 3
/
ATOMIC_SPECIES
Au 196.97 Au.upf
Zn 65.41 Zn.upf
Na 22.99 Na.upf
ATOMIC_POSITIONS crystal
Au 0.658 0.342 0.342
Zn 0.000 0.000 0.500
Au 0.320 0.180 0.180
Zn 0.000 0.500 0.000
Zn 0.500 0.500 0.000
Au 0.000 0.338 0.662
Au 0.000 0.662 0.338
Zn 0.500 0.766 0.234
Zn 0.500 0.000 0.500
Au 0.680 0.820 0.820
Na 0.000 0.000 0.000
Zn 0.500 0.234 0.766
Au 0.342 0.658 0.658
CELL_PARAMETERS angstrom
-3.493 -2.874 -2.730
2.716 -6.072 -2.194
-3.586 -4.398 4.105
! Space group: Immm (71)
! E_form: -0.224 eV/atom

! PBE K3La3SnO8, relaxed; values from VASP
&SYSTEM
  ibrav = 0, nat = 15, ntyp = 4
/
ATOMIC_SPECIES
La 138.91 La.upf
K 39.10 K.upf
O 16.00 O.upf
Sn 118.71 Sn.upf
ATOMIC_POSITIONS crystal
La 0.000 0.500 0.500
La 0.500 0.000 0.500
K 0.000 0.500 0.000
O 0.237 0.030 0.322
O 0.208 0.970 0.678
O 0.208 0.415 0.678
O 0.271 0.543 0.314
O 0.729 0.457 0.686
K 0.500 0.500 0.000
K 0.000 0.000 0.000
La 0.500 0.500 0.500
O 0.763 0.970 0.678
O 0.792 0.030 0.322
O 0.792 0.585 0.322
Sn 0.000 0.000 0.500
CELL_PARAMETERS angstrom
7.234 0.000 0.000
-3.617 6.267 -0.023
0.000 -4.156 6.340
! Space group: R-3m (166)
! Formation energy from raw total energies: -2.45 eV per atom

! PBE Mg2VCoC, relaxed; values from VASP
&SYSTEM
  ibrav = 0, nat = 5, ntyp = 4
/
ATOMIC_SPECIES
Mg 24.30 Mg.upf
C 12.01 C.upf
V 50.94 V.upf
Co 58.93 Co.upf
ATOMIC_POSITIONS crystal
Mg 0.000 0.000 0.500
C 0.000 0.500 0.000
V 0.000 0.000 0.000
Mg 0.500 0.000 0.000
Co 0.500 0.500 0.500
CELL_PARAMETERS angstrom
-2.518 4.033 1.859
-1.501 0.619 -3.377
-3.942 -3.014 1.199
! Space group: P4/mmm (123)
! E_form: 1.405 eV/atom
! Energy above the lowest structure with this stoichiometry: 1.0065 eV/atom

! PBE MnMoAs, relaxed; values from VASP
&SYSTEM
  ibrav = 0, nat = 3, ntyp = 3
/
ATOMIC_SPECIES
As 74.92 As.upf
Mo 95.94 Mo.upf
Mn 54.94 Mn.upf
ATOMIC_POSITIONS crystal
As 0.500 0.500 0.500
Mo 0.000 0.000 0.000
Mn 0.750 0.750 0.750
CELL_PARAMETERS angstrom
3.998 0.000 0.000
1.999 3.463 0.000
1.999 1.154 3.265
! Space group: F-43m (216)
! E_form: -0.174 eV/atom

! PBE La6PmTh, relaxed; values from VASP
&SYSTEM
  ibrav = 0, nat = 8, ntyp = 3
/
ATOMIC_SPECIES
La 138.91 La.upf
Pm 145.00 Pm.upf
Th 232.04 Th.upf
ATOMIC_POSITIONS crystal
La 0.500 0.000 0.743
La 0.500 0.500 0.500
Pm 0.000 0.000 0.000
La 0.500 0.500 0.000
La 0.000 0.500 0.743
La 0.000 0.500 0.257
La 0.500 0.000 0.257
Th 0.000 0.000 0.500
CELL_PARAMETERS angstrom
5.206 0.000 0.000
0.000 5.206 0.000
0.000 0.000 10.447
! Space group: P4/mmm (123)
! E_form: 0.024 eV/atom

! PBE MnAu2Se, relaxed; values from VASP
&SYSTEM
  ibrav = 0, nat = 4, ntyp = 3
/
ATOMIC_SPECIES
Se 78.96 Se.upf
Au 196.97 Au.upf
Mn 54.94 Mn.upf
ATOMIC_POSITIONS crystal
Se 0.500 0.967 0.691
Au 0.000 0.792 0.043
Au 0.500 0.181 0.262
Mn 0.000 0.560 0.504
CELL_PARAMETERS angstrom
-1.324 -3.073 -0.794
2.247 -0.288 -2.633
5.367 -2.982 2.589
! Space group: Pm (6)
! Formation energy from raw total energies: -0.01 eV per atom